# NpGe3Pd3

Crystalline NpGe3Pd3 at its relaxed geometry (PBE, Alexandria).

Unit cell a=8.457 b=8.457 c=8.457 alpha=60.00 beta=60.00 gamma=60.00
Sites, in units of the cell vectors:
Np1 0.250 0.250 0.250
Np2 0.750 0.750 0.750
Ge1 0.153 0.153 0.847
Ge2 0.153 0.847 0.153
Ge3 0.153 0.847 0.847
Ge4 0.847 0.153 0.153
Ge5 0.847 0.153 0.847
Ge6 0.847 0.847 0.153
Pd1 0.342 0.342 0.658
Pd2 0.342 0.658 0.342
Pd3 0.342 0.658 0.658
Pd4 0.658 0.342 0.342
Pd5 0.658 0.342 0.658
Pd6 0.658 0.658 0.342

Computed properties:
- Excess energy over the best structure of this formula in the dataset: 4.96 eV/f.u.
- Calculated volume: 30.555 Å³ per atom
- M_tot: 10.40 Bohr magnetons per cell
- Crystal system: cubic